# 1
{
  "formula": "Ca2AsIr",
  "functional": "PBEsol",
  "state": "relaxed",
  "lattice_angstrom": [[4.506, 0.000, 0.000], [-2.253, 4.532, 0.035], [0.000, -2.270, 3.892]],
  "species": ["Ca", "Ca", "As", "Ir"],
  "frac_coords": [[0.750, 0.500, 0.250], [0.250, 0.500, 0.750], [0.500, 0.000, 0.500], [0.000, 0.000, 0.000]],
  "total_magnetization_mub_per_cell": 0.00,
  "dos_ef_per_ev_cell": 1.308,
  "sg": "I4/mmm (139)",
  "total_energy_ha_per_atom": -0.193,
  "density_g_cm3": 7.22,
  "e_form_mev_per_atom": -458
}

---

# 2
{
  "formula": "Ca2AsIr",
  "functional": "PBEsol",
  "state": "relaxed",
  "lattice_angstrom": [[5.633, 0.000, 0.000], [2.816, 5.516, 0.000], [2.816, 0.000, 5.516]],
  "species": ["Ir", "Ir", "Ca", "Ca", "Ca", "Ca", "As", "As"],
  "frac_coords": [[0.000, 0.000, 0.000], [0.750, 0.500, 0.500], [0.651, 0.974, 0.474], [0.099, 0.026, 0.526], [0.375, 0.526, 0.974], [0.875, 0.474, 0.026], [0.500, 0.000, 0.000], [0.250, 0.500, 0.500]],
  "total_magnetization_mub_per_cell": 0.00,
  "dos_ef_per_ev_cell": 7.651,
  "sg": "I-42d (122)",
  "total_energy_ha_per_atom": -0.181,
  "density_g_cm3": 6.73,
  "e_form_mev_per_atom": -127
}

---

# 3
{
  "formula": "CaAs3Ir",
  "functional": "PBEsol",
  "state": "relaxed",
  "lattice_angstrom": [[-1.726, 4.608, -0.877], [-0.153, -0.989, -4.897], [-4.688, -1.665, 0.482]],
  "species": ["Ca", "Ir", "As", "As", "As"],
  "frac_coords": [[0.000, 0.000, 0.000], [0.500, 0.500, 0.500], [0.500, 0.000, 0.000], [0.000, 0.000, 0.500], [0.000, 0.500, 0.000]],
  "polymorph_energy_ev_per_atom": 1.650,
  "total_magnetization_mub_per_cell": 0.00,
  "dos_ef_per_ev_cell": 5.241,
  "sg": "Pm-3m (221)",
  "total_energy_ha_per_atom": -0.137,
  "density_g_cm3": 6.08,
  "e_form_mev_per_atom": 1739
}

---

# 4
{
  "formula": "CaAsIr2",
  "functional": "PBEsol",
  "state": "relaxed",
  "lattice_angstrom": [[-1.945, 0.980, -2.130], [0.622, -2.452, -1.696], [-5.498, -3.691, 3.322]],
  "species": ["As", "Ir", "Ir", "Ca"],
  "frac_coords": [[0.000, 0.000, 0.444], [0.500, 0.500, 0.266], [0.000, 0.000, 0.030], [0.500, 0.500, 0.760]],
  "total_magnetization_mub_per_cell": 0.00,
  "dos_ef_per_ev_cell": 3.577,
  "sg": "P4mm (99)",
  "total_energy_ha_per_atom": -0.250,
  "density_g_cm3": 12.07,
  "e_form_mev_per_atom": -69
}